{"formula": "KCu3SnTe4", "functional": "GGA-PBE", "state": "relaxed", "spacegroup": "No. 11", "e_above_lowest_polymorph_ev_per_atom": 0.000, "lattice": [[6.1597, 0.0000, 0.0000], [0.0000, 8.1914, 0.0000], [-2.5072, 0.0000, 10.5045]], "species": ["Cu", "Te", "Te", "Sn", "Cu", "K", "K", "Cu", "Cu", "Te", "Sn", "Te", "Te", "Cu", "Te", "Te", "Te", "Cu"], "fractional_positions": [[0.6517, 0.2500, 0.7988], [0.2329, 0.7500, 0.4241], [0.4061, 0.5313, 0.7860], [0.8629, 0.7500, 0.2225], [0.3038, 0.5530, 0.0100], [0.1848, 0.2500, 0.3933], [0.8152, 0.7500, 0.6067], [0.3038, 0.9470, 0.0100], [0.6962, 0.4470, 0.9900], [0.9669, 0.7500, 0.9782], [0.1371, 0.2500, 0.7775], [0.4061, 0.9687, 0.7860], [0.5939, 0.4687, 0.2140], [0.6962, 0.0530, 0.9900], [0.5939, 0.0313, 0.2140], [0.0331, 0.2500, 0.0218], [0.7671, 0.2500, 0.5759], [0.3483, 0.7500, 0.2012]]}

***

{"formula": "TbHfAsO", "functional": "GGA-PBE", "state": "relaxed", "spacegroup": "No. 26", "e_above_lowest_polymorph_ev_per_atom": 0.188, "lattice": [[3.9866, 0.0000, 0.0000], [0.0000, 7.3921, 0.0000], [0.0000, 0.0000, 5.8212]], "species": ["Hf", "Tb", "As", "As", "Hf", "O", "Tb", "O"], "fractional_positions": [[0.5000, 0.6063, 0.4986], [0.0000, 0.2239, 0.4523], [0.0000, 0.1616, 0.9478], [0.0000, 0.8384, 0.4478], [0.5000, 0.3937, 0.9986], [0.5000, 0.3473, 0.3553], [0.0000, 0.7761, 0.9523], [0.5000, 0.6527, 0.8553]]}

***

{"formula": "CdFeSnPt", "functional": "GGA-PBE", "state": "relaxed", "spacegroup": "No. 216", "e_above_lowest_polymorph_ev_per_atom": 0.000, "lattice": [[1.9723, -0.9347, 4.0588], [1.1339, 3.4343, 2.8561], [-2.3625, 0.6223, 3.9076]], "species": ["Pt", "Cd", "Fe", "Sn"], "fractional_positions": [[0.2500, 0.2500, 0.2500], [0.5000, 0.5000, 0.5000], [0.7500, 0.7500, 0.7500], [0.0000, 0.0000, 0.0000]]}

***

{"formula": "LiSmPt", "functional": "GGA-PBE", "state": "relaxed", "spacegroup": "No. 216", "e_above_lowest_polymorph_ev_per_atom": 0.000, "lattice": [[0.0000, 3.3076, 3.3076], [3.3076, 0.0000, 3.3076], [3.3076, 3.3076, 0.0000]], "species": ["Pt", "Sm", "Li"], "fractional_positions": [[0.0000, 0.0000, 0.0000], [0.7500, 0.7500, 0.7500], [0.2500, 0.2500, 0.2500]]}

***

{"formula": "LaHfAl2Ni4", "functional": "GGA-PBE", "state": "relaxed", "spacegroup": "No. 187", "e_tot_ev_per_cell": -49.08, "lattice": [[4.1441, 0.0000, 0.0000], [-2.0720, 3.5889, 0.0000], [0.0000, 0.0000, 8.6589]], "species": ["Ni", "Al", "Al", "La", "Hf", "Ni", "Ni", "Ni"], "fractional_positions": [[0.6667, 0.3333, 0.2962], [0.0000, 0.0000, 0.2196], [0.0000, 0.0000, 0.7804], [0.3333, 0.6667, 0.5000], [0.6667, 0.3333, 0.0000], [0.3333, 0.6667, 0.1543], [0.3333, 0.6667, 0.8457], [0.6667, 0.3333, 0.7038]]}

***

{"formula": "LiPaIr", "functional": "GGA-PBE", "state": "relaxed", "spacegroup": "No. 216", "e_above_lowest_polymorph_ev_per_atom": 0.000, "lattice": [[0.0000, 3.1875, 3.1875], [3.1875, 0.0000, 3.1875], [3.1875, 3.1875, 0.0000]], "species": ["Li", "Pa", "Ir"], "fractional_positions": [[0.7500, 0.7500, 0.7500], [0.2500, 0.2500, 0.2500], [0.0000, 0.0000, 0.0000]]}

***

{"formula": "Zr5Zn", "functional": "GGA-PBE", "state": "relaxed", "spacegroup": "No. 189", "e_tot_ev_per_cell": -44.15, "lattice": [[-3.0457, -4.4979, 0.2686], [-1.8738, -1.7324, 4.8028], [-4.2245, 2.8229, -0.6299]], "species": ["Zr", "Zr", "Zn", "Zr", "Zr", "Zr"], "fractional_positions": [[0.0000, 0.3190, 0.5000], [0.6667, 0.6666, 0.0000], [0.0000, 0.0000, 0.0000], [0.3334, 0.3333, 0.0000], [0.6810, 0.0000, 0.5000], [0.3190, 0.6810, 0.5000]]}

***

{"formula": "InAgNO", "functional": "GGA-PBE", "state": "relaxed", "spacegroup": "No. 129", "e_above_lowest_polymorph_ev_per_atom": 0.319, "lattice": [[-3.6295, 1.6024, -0.2523], [-1.3718, -2.7019, 2.5734], [1.5286, 4.3018, 5.3314]], "species": ["O", "O", "Ag", "N", "In", "N", "In", "Ag"], "fractional_positions": [[0.7500, 0.2500, 0.0000], [0.2500, 0.7500, 0.0000], [0.7500, 0.2500, 0.5000], [0.2500, 0.2500, 0.6583], [0.7500, 0.7500, 0.8652], [0.7500, 0.7500, 0.3417], [0.2500, 0.2500, 0.1348], [0.2500, 0.7500, 0.5000]]}

***

{"formula": "LuOsAu", "functional": "GGA-PBE", "state": "relaxed", "spacegroup": "No. 216", "e_above_lowest_polymorph_ev_per_atom": 0.000, "lattice": [[0.0000, 3.1979, 3.1979], [3.1979, 0.0000, 3.1979], [3.1979, 3.1979, 0.0000]], "species": ["Au", "Os", "Lu"], "fractional_positions": [[0.2500, 0.2500, 0.2500], [0.0000, 0.0000, 0.0000], [0.7500, 0.7500, 0.7500]]}

***

{"formula": "LiHfHg3Se4", "functional": "GGA-PBE", "state": "relaxed", "spacegroup": "No. 215", "e_tot_ev_per_cell": -29.90, "lattice": [[6.8917, 0.0000, 0.0000], [0.0000, 6.8917, 0.0000], [0.0000, 0.0000, 6.8917]], "species": ["Li", "Hg", "Se", "Se", "Hf", "Se", "Hg", "Hg", "Se"], "fractional_positions": [[0.5000, 0.5000, 0.5000], [0.0000, 0.5000, 0.0000], [0.7843, 0.7843, 0.7843], [0.2157, 0.7843, 0.2157], [0.0000, 0.0000, 0.0000], [0.7843, 0.2157, 0.2157], [0.0000, 0.0000, 0.5000], [0.5000, 0.0000, 0.0000], [0.2157, 0.2157, 0.7843]]}

***

{"formula": "CdSbPb", "functional": "GGA-PBE", "state": "relaxed", "spacegroup": "No. 216", "e_tot_ev_per_cell": -8.51, "lattice": [[-2.6404, -2.3177, 3.6818], [-3.6234, 2.5376, 2.5161], [-4.8992, -1.1674, -0.7312]], "species": ["Pb", "Cd", "Sb"], "fractional_positions": [[0.2500, 0.2500, 0.2500], [0.0000, 0.0000, 0.0000], [0.7500, 0.7500, 0.7500]]}

***

{"formula": "SrZn2Ni", "functional": "GGA-PBE", "state": "relaxed", "spacegroup": "No. 216", "e_tot_ev_per_cell": -9.34, "lattice": [[-4.5778, 1.2224, 0.6254], [-2.6728, -2.3124, 3.2172], [-1.3558, 2.2123, 4.0137]], "species": ["Ni", "Zn", "Sr", "Zn"], "fractional_positions": [[0.5000, 0.5000, 0.5000], [0.0000, 0.0000, 0.0000], [0.2500, 0.2500, 0.2500], [0.7500, 0.7500, 0.7500]]}

***

{"formula": "LiCoCuSe2S", "functional": "GGA-PBE", "state": "relaxed", "spacegroup": "No. 63", "e_tot_ev_per_cell": -51.82, "lattice": [[1.7543, -6.0517, 0.0000], [1.7543, 6.0517, 0.0000], [0.0000, 0.0000, 9.2179]], "species": ["S", "Li", "Cu", "Se", "Co", "S", "Co", "Li", "Se", "Cu", "Se", "Se"], "fractional_positions": [[0.9314, 0.0686, 0.2500], [0.2547, 0.7453, 0.2500], [0.4499, 0.5501, 0.7500], [0.6387, 0.3613, 0.4751], [0.0000, 0.0000, 0.0000], [0.0686, 0.9314, 0.7500], [0.0000, 0.0000, 0.5000], [0.7453, 0.2547, 0.7500], [0.6387, 0.3613, 0.0249], [0.5501, 0.4499, 0.2500], [0.3613, 0.6387, 0.9751], [0.3613, 0.6387, 0.5249]]}

***

{"formula": "NdErAlNi2", "functional": "GGA-PBE", "state": "relaxed", "spacegroup": "No. 44", "e_tot_ev_per_cell": -26.70, "lattice": [[-2.1003, 2.7077, 4.1974], [2.1003, -2.7077, 4.1974], [2.1003, 2.7077, -4.1974]], "species": ["Ni", "Al", "Ni", "Nd", "Er"], "fractional_positions": [[0.7341, 0.5003, 0.2338], [0.9996, 0.9996, 0.0000], [0.2665, 0.5003, 0.7662], [0.2964, 0.7964, 0.5000], [0.7034, 0.2034, 0.5000]]}

***

{"formula": "InIr124", "functional": "GGA-PBE", "state": "relaxed", "spacegroup": "No. 225", "e_tot_ev_per_cell": -1101.01, "lattice": [[3.0259, 10.3611, 8.4568], [8.2322, 10.1191, -4.2264], [-5.1420, 12.4927, -2.3491]], "species": ["Ir", "Ir", "Ir", "Ir", "Ir", "Ir", "Ir", "Ir", "Ir", "Ir", "Ir", "Ir", "Ir", "Ir", "Ir", "Ir", "In", "Ir", "Ir", "Ir", "Ir", "Ir", "Ir", "Ir", "Ir", "Ir", "Ir", "Ir", "Ir", "Ir", "Ir", "Ir", "Ir", "Ir", "Ir", "Ir", "Ir", "Ir", "Ir", "Ir", "Ir", "Ir", "Ir", "Ir", "Ir", "Ir", "Ir", "Ir", "Ir", "Ir", "Ir", "Ir", "Ir", "Ir", "Ir", "Ir", "Ir", "Ir", "Ir", "Ir", "Ir", "Ir", "Ir", "Ir", "Ir", "Ir", "Ir", "Ir", "Ir", "Ir", "Ir", "Ir", "Ir", "Ir", "Ir", "Ir", "Ir", "Ir", "Ir", "Ir", "Ir", "Ir", "Ir", "Ir", "Ir", "Ir", "Ir", "Ir", "Ir", "Ir", "Ir", "Ir", "Ir", "Ir", "Ir", "Ir", "Ir", "Ir", "Ir", "Ir", "Ir", "Ir", "Ir", "Ir", "Ir", "Ir", "Ir", "Ir", "Ir", "Ir", "Ir", "Ir", "Ir", "Ir", "Ir", "Ir", "Ir", "Ir", "Ir", "Ir", "Ir", "Ir", "Ir", "Ir", "Ir"], "fractional_positions": [[0.6001, 0.3999, 0.7999], [0.0000, 0.7962, 0.0000], [0.2001, 0.2001, 0.5997], [0.2001, 0.6001, 0.7999], [0.3998, 0.0000, 0.3998], [0.0000, 0.5997, 0.2001], [0.0000, 0.3998, 0.2003], [0.2001, 0.0000, 0.2001], [0.4001, 0.5999, 0.4001], [0.3999, 0.7999, 0.2001], [0.4000, 0.8001, 0.4000], [0.8003, 0.1997, 0.8003], [0.4000, 0.4000, 0.8001], [0.7962, 0.0000, 0.2038], [0.5999, 0.4001, 0.5999], [0.4003, 0.0000, 0.7999], [0.0000, 0.0000, 0.0000], [0.6002, 0.0000, 0.6002], [0.7999, 0.0000, 0.7999], [0.3998, 0.2003, 0.3998], [0.3998, 0.0000, 0.2003], [0.6001, 0.7999, 0.3999], [0.0000, 0.4017, 0.5983], [0.0000, 0.2038, 0.7962], [0.0000, 0.3998, 0.3998], [0.1999, 0.6000, 0.6000], [0.6002, 0.7997, 0.0000], [0.8000, 0.8000, 0.8000], [0.2001, 0.7999, 0.6001], [0.1997, 0.8003, 0.8003], [0.4003, 0.7999, 0.7999], [0.6001, 0.2001, 0.7999], [0.0000, 0.4003, 0.7999], [0.2001, 0.5997, 0.0000], [0.4017, 0.5983, 0.0000], [0.2003, 0.3998, 0.0000], [0.4000, 0.4000, 0.4000], [0.0000, 0.0000, 0.7962], [0.6000, 0.6000, 0.1999], [0.0000, 0.6002, 0.7997], [0.2003, 0.3998, 0.3998], [0.5999, 0.5999, 0.4001], [0.3998, 0.3998, 0.2003], [0.7999, 0.3999, 0.6001], [0.2038, 0.0000, 0.7962], [0.7999, 0.6001, 0.2001], [0.0000, 0.5983, 0.4017], [0.7997, 0.6002, 0.0000], [0.3999, 0.2001, 0.7999], [0.7962, 0.2038, 0.0000], [0.3999, 0.6001, 0.7999], [0.6002, 0.0000, 0.7997], [0.7997, 0.0000, 0.6002], [0.7999, 0.2001, 0.3999], [0.2000, 0.2000, 0.3999], [0.7999, 0.0000, 0.4003], [0.6001, 0.8000, 0.8000], [0.6000, 0.6000, 0.6000], [0.2038, 0.7962, 0.0000], [0.3999, 0.2000, 0.2000], [0.3998, 0.3998, 0.0000], [0.0000, 0.6002, 0.6002], [0.2001, 0.3999, 0.6001], [0.4001, 0.5999, 0.5999], [0.2038, 0.0000, 0.0000], [0.2001, 0.6001, 0.3999], [0.6001, 0.7999, 0.2001], [0.0000, 0.0000, 0.5983], [0.2001, 0.2001, 0.0000], [0.7999, 0.2001, 0.6001], [0.8001, 0.4000, 0.4000], [0.5999, 0.4001, 0.4001], [0.2001, 0.3999, 0.7999], [0.5983, 0.0000, 0.4017], [0.0000, 0.7997, 0.6002], [0.1997, 0.8003, 0.1997], [0.6001, 0.2001, 0.3999], [0.7999, 0.3999, 0.2001], [0.2000, 0.3999, 0.2000], [0.3999, 0.2001, 0.6001], [0.0000, 0.4017, 0.0000], [0.6002, 0.7997, 0.6002], [0.5997, 0.2001, 0.2001], [0.0000, 0.2003, 0.3998], [0.7999, 0.4003, 0.0000], [0.5997, 0.0000, 0.2001], [0.0000, 0.0000, 0.2038], [0.0000, 0.5983, 0.0000], [0.1997, 0.1997, 0.8003], [0.7999, 0.7999, 0.4003], [0.2001, 0.5997, 0.2001], [0.0000, 0.2001, 0.2001], [0.7999, 0.6001, 0.3999], [0.7997, 0.6002, 0.6002], [0.3999, 0.7999, 0.6001], [0.3999, 0.6001, 0.2001], [0.7999, 0.7999, 0.0000], [0.4003, 0.7999, 0.0000], [0.8000, 0.6001, 0.8000], [0.8003, 0.8003, 0.1997], [0.2001, 0.0000, 0.5997], [0.5997, 0.2001, 0.0000], [0.4017, 0.0000, 0.0000], [0.6000, 0.1999, 0.6000], [0.0000, 0.7999, 0.4003], [0.6002, 0.6002, 0.0000], [0.2000, 0.2000, 0.2000], [0.0000, 0.0000, 0.4017], [0.2001, 0.7999, 0.3999], [0.5983, 0.0000, 0.0000], [0.0000, 0.7962, 0.2038], [0.3998, 0.2003, 0.0000], [0.6001, 0.3999, 0.2001], [0.6002, 0.6002, 0.7997], [0.5983, 0.4017, 0.0000], [0.0000, 0.7999, 0.7999], [0.7999, 0.4003, 0.7999], [0.4017, 0.0000, 0.5983], [0.7962, 0.0000, 0.0000], [0.8000, 0.8000, 0.6001], [0.2003, 0.0000, 0.3998], [0.8003, 0.1997, 0.1997], [0.0000, 0.2001, 0.5997], [0.0000, 0.2038, 0.0000], [0.4001, 0.4001, 0.5999]]}

***

{"formula": "LiTbFeS3", "functional": "GGA-PBE", "state": "relaxed", "spacegroup": "No. 11", "e_above_lowest_polymorph_ev_per_atom": 0.000, "lattice": [[-0.2711, -6.2995, -4.0440], [-0.5478, -2.0211, 3.1850], [-9.0200, 2.5235, 0.0499]], "species": ["S", "S", "Fe", "Fe", "Tb", "Li", "S", "S", "S", "Li", "S", "Tb"], "fractional_positions": [[0.2268, 0.7500, 0.0412], [0.9282, 0.7500, 0.6589], [0.0655, 0.2500, 0.0923], [0.9345, 0.7500, 0.9077], [0.6606, 0.2500, 0.6592], [0.8356, 0.7500, 0.3721], [0.4003, 0.7500, 0.6411], [0.0718, 0.2500, 0.3411], [0.5997, 0.2500, 0.3589], [0.1644, 0.2500, 0.6279], [0.7732, 0.2500, 0.9588], [0.3393, 0.7500, 0.3408]]}

***

{"formula": "Dy2AlHg5", "functional": "GGA-PBE", "state": "relaxed", "spacegroup": "No. 38", "e_tot_ev_per_cell": -17.01, "lattice": [[-1.2041, 4.1891, 2.2782], [3.7464, -1.7135, 5.1307], [6.3382, 1.7641, 0.1059]], "species": ["Hg", "Hg", "Dy", "Hg", "Dy", "Hg", "Hg", "Al"], "fractional_positions": [[0.5000, 0.1644, 0.1644], [0.5000, 0.6696, 0.1489], [0.0000, 0.3358, 0.3358], [0.5000, 0.1489, 0.6696], [0.5000, 0.6649, 0.6649], [0.0000, 0.8330, 0.3342], [0.0000, 0.3342, 0.8330], [0.0000, 0.8491, 0.8491]]}

***

{"formula": "HoTlAg", "functional": "GGA-PBE", "state": "relaxed", "spacegroup": "No. 216", "e_tot_ev_per_cell": -9.32, "lattice": [[0.0000, 3.4894, 3.4894], [3.4894, 0.0000, 3.4894], [3.4894, 3.4894, 0.0000]], "species": ["Ag", "Ho", "Tl"], "fractional_positions": [[0.5000, 0.5000, 0.5000], [0.2500, 0.2500, 0.2500], [0.0000, 0.0000, 0.0000]]}

***

{"formula": "Ga2Re2O5", "functional": "GGA-PBE", "state": "relaxed", "spacegroup": "No. 123", "e_above_lowest_polymorph_ev_per_atom": 0.303, "lattice": [[-2.6582, 8.0256, -1.6642], [-2.9785, -1.2291, -1.1696], [-1.3267, 0.2145, 3.1534]], "species": ["Ga", "O", "O", "Ga", "O", "Re", "Re", "O", "O"], "fractional_positions": [[0.7413, 0.5000, 0.5000], [0.5000, 0.5000, 0.5000], [0.8590, 0.5000, 0.0000], [0.2587, 0.5000, 0.5000], [0.1410, 0.0000, 0.5000], [0.5000, 0.0000, 0.0000], [0.0000, 0.0000, 0.0000], [0.8590, 0.0000, 0.5000], [0.1410, 0.5000, 0.0000]]}

***

{"formula": "NiBi2B", "functional": "GGA-PBE", "state": "relaxed", "spacegroup": "No. 216", "e_tot_ev_per_cell": -15.22, "lattice": [[-0.4007, -3.0374, 3.8274], [3.9597, -2.3393, 1.6981], [1.9163, 1.2532, 4.3350]], "species": ["Bi", "Bi", "Ni", "B"], "fractional_positions": [[0.5000, 0.5000, 0.5000], [0.7500, 0.7500, 0.7500], [0.0000, 0.0000, 0.0000], [0.2500, 0.2500, 0.2500]]}